Density functional theory data (GGA+U) for a relaxed MoSO3 crystal.

Geometry as CIF:
```
data_MoSO3
_chemical_formula_sum 'Mo1 S1 O3'
_cell_length_a 3.9432
_cell_length_b 3.9432
_cell_length_c 3.9432
_cell_angle_alpha 90.00
_cell_angle_beta 90.00
_cell_angle_gamma 90.00
_symmetry_space_group_name_H-M 'P m -3 m'
_symmetry_Int_Tables_number 221
_symmetry_space_group_name_Hall '-P 4 2 3'
loop_
_atom_site_label
_atom_site_type_symbol
_atom_site_fract_x
_atom_site_fract_y
_atom_site_fract_z
_atom_site_occupancy
Mo1 Mo 0.0000 0.0000 0.0000 1
S1 S 0.5000 0.5000 0.5000 1
O1 O 0.0000 0.0000 0.5000 1
```

Output
The final energy is -28.38 eV for the cell shown.